Entry 1:
The following is a SCAN calculation of a PBEsol-optimized structure of YGaSnHg2, from the Alexandria database.

## Properties
DFT total energy	-216.2	eV per cell
total magnetic moment	0.000	μB/cell
E_form	0.0451	eV/atom

Cell and atoms, written as CIF:
```
data_YGaSnHg2
_symmetry_space_group_name_H-M 'P 4/m m m'
_symmetry_Int_Tables_number 123
_symmetry_space_group_name_Hall '-P 4 2'
_cell_length_a 4.989
_cell_length_b 4.989
_cell_length_c 5.290
_cell_angle_alpha 90.00
_cell_angle_beta 90.00
_cell_angle_gamma 90.00
loop_
_atom_site_label
_atom_site_type_symbol
_atom_site_fract_x
_atom_site_fract_y
_atom_site_fract_z
Y1 Y 0.000 0.000 0.000
Ga1 Ga 0.500 0.500 0.500
Sn1 Sn 0.500 0.500 0.000
Hg1 Hg 0.000 0.500 0.500
```

Entry 2:
The following is a SCAN calculation of a PBEsol-optimized structure of Li3In2, from the Alexandria database.

## Properties
DFT total energy	-75.5	eV per cell
total magnetic moment	0.000	μB/cell
E_form	-0.3148	eV/atom
energy above the lowest structure with this stoichiometry	0.098	eV per atom

Cell and atoms, written as CIF:
```
data_Li3In2
_symmetry_space_group_name_H-M 'P -3 m 1'
_symmetry_Int_Tables_number 164
_symmetry_space_group_name_Hall '-P 3 2"'
_cell_length_a 4.6163
_cell_length_b 4.6163
_cell_length_c 5.7940
_cell_angle_alpha 90.00
_cell_angle_beta 90.00
_cell_angle_gamma 120.00
loop_
_atom_site_label
_atom_site_type_symbol
_atom_site_fract_x
_atom_site_fract_y
_atom_site_fract_z
Li1 Li 0.0000 0.0000 0.0000
Li2 Li 0.3333 0.6667 0.3636
In1 In 0.3333 0.6667 0.8657
```

Entry 3:
The following is a SCAN calculation of a PBEsol-optimized structure of SrZrCd2, from the Alexandria database.

## Properties
DFT total energy	-113.2	eV per cell
total magnetic moment	0.001	μB/cell
E_form	0.1588	eV/atom

Cell and atoms, written as CIF:
```
data_SrZrCd2
_symmetry_space_group_name_H-M 'P 1 2/m 1'
_symmetry_Int_Tables_number 10
_symmetry_space_group_name_Hall '-P 2y'
_cell_length_a 5.628
_cell_length_b 3.127
_cell_length_c 6.319
_cell_angle_alpha 90.00
_cell_angle_beta 113.25
_cell_angle_gamma 90.00
loop_
_atom_site_label
_atom_site_type_symbol
_atom_site_fract_x
_atom_site_fract_y
_atom_site_fract_z
Sr1 Sr 0.000 0.000 0.000
Zr1 Zr 0.500 0.500 0.500
Cd1 Cd 0.000 0.000 0.500
Cd2 Cd 0.500 0.500 0.000
```

Entry 4:
The following is a SCAN calculation of a PBEsol-optimized structure of LaCd2Ag, from the Alexandria database.

## Properties
DFT total energy	-273.4	eV per cell
total magnetic moment	0.000	μB/cell
E_form	-0.3506	eV/atom

Cell and atoms, written as CIF:
```
data_LaCd2Ag
_symmetry_space_group_name_H-M 'I -4 m 2'
_symmetry_Int_Tables_number 119
_symmetry_space_group_name_Hall 'I -4 -2'
_cell_length_a 5.067
_cell_length_b 5.067
_cell_length_c 7.157
_cell_angle_alpha 90.00
_cell_angle_beta 90.00
_cell_angle_gamma 90.00
loop_
_atom_site_label
_atom_site_type_symbol
_atom_site_fract_x
_atom_site_fract_y
_atom_site_fract_z
La1 La 0.000 0.000 0.000
Cd1 Cd 0.000 0.000 0.500
Cd2 Cd 0.000 0.500 0.750
Ag1 Ag 0.000 0.500 0.250
```

Entry 5:
The following is a SCAN calculation of a PBEsol-optimized structure of Cs3AgHg, from the Alexandria database.

## Properties
DFT total energy	-212.3	eV per cell
total magnetic moment	0.000	μB/cell
E_form	0.1291	eV/atom

Cell and atoms, written as CIF:
```
data_Cs3AgHg
_symmetry_space_group_name_H-M 'P m -3 m'
_symmetry_Int_Tables_number 221
_symmetry_space_group_name_Hall '-P 4 2 3'
_cell_length_a 6.895
_cell_length_b 6.895
_cell_length_c 6.895
_cell_angle_alpha 90.00
_cell_angle_beta 90.00
_cell_angle_gamma 90.00
loop_
_atom_site_label
_atom_site_type_symbol
_atom_site_fract_x
_atom_site_fract_y
_atom_site_fract_z
Cs1 Cs 0.000 0.000 0.500
Ag1 Ag 0.500 0.500 0.500
Hg1 Hg 0.000 0.000 0.000
```

Entry 6:
The following is a SCAN calculation of a PBEsol-optimized structure of SbTeHI2, from the Alexandria database.

## Properties
DFT total energy	-148.5	eV per cell
total magnetic moment	1.856	μB/cell

Cell and atoms, written as CIF:
```
data_SbTeHI2
_symmetry_space_group_name_H-M 'P 4/m m m'
_symmetry_Int_Tables_number 123
_symmetry_space_group_name_Hall '-P 4 2'
_cell_length_a 5.965
_cell_length_b 5.965
_cell_length_c 5.693
_cell_angle_alpha 90.00
_cell_angle_beta 90.00
_cell_angle_gamma 90.00
loop_
_atom_site_label
_atom_site_type_symbol
_atom_site_fract_x
_atom_site_fract_y
_atom_site_fract_z
Sb1 Sb 0.000 0.000 0.000
Te1 Te 0.000 0.000 0.500
H1 H 0.500 0.500 0.500
I1 I 0.000 0.500 0.000
```

Entry 7:
The following is a SCAN calculation of a PBEsol-optimized structure of LiAl2, from the Alexandria database.

## Properties
DFT total energy	-18.0	eV per cell
total magnetic moment	0.006	μB/cell
E_form	-0.0265	eV/atom
energy above the lowest structure with this stoichiometry	0.065	eV per atom

Cell and atoms, written as CIF:
```
data_LiAl2
_symmetry_space_group_name_H-M 'P -3 m 1'
_symmetry_Int_Tables_number 164
_symmetry_space_group_name_Hall '-P 3 2"'
_cell_length_a 4.4370
_cell_length_b 4.4370
_cell_length_c 2.8785
_cell_angle_alpha 90.00
_cell_angle_beta 90.00
_cell_angle_gamma 120.00
loop_
_atom_site_label
_atom_site_type_symbol
_atom_site_fract_x
_atom_site_fract_y
_atom_site_fract_z
Li1 Li 0.0000 0.0000 0.0000
Al1 Al 0.3333 0.6667 0.6386
```

Entry 8:
The following is a SCAN calculation of a PBEsol-optimized structure of Sc2AsSe, from the Alexandria database.

## Properties
DFT total energy	-226.8	eV per cell
total magnetic moment	0.001	μB/cell
formation energy from raw total energies	-1.72	eV per atom
energy above the lowest structure with this stoichiometry	0.000	eV per atom

Cell and atoms, written as CIF:
```
data_Sc2AsSe
_symmetry_space_group_name_H-M 'R -3 m'
_symmetry_Int_Tables_number 166
_symmetry_space_group_name_Hall '-R 3 2"'
_cell_length_a 3.8193
_cell_length_b 3.8193
_cell_length_c 18.8130
_cell_angle_alpha 90.00
_cell_angle_beta 90.00
_cell_angle_gamma 120.00
loop_
_atom_site_label
_atom_site_type_symbol
_atom_site_fract_x
_atom_site_fract_y
_atom_site_fract_z
Sc1 Sc 0.0000 0.0000 0.2461
As1 As 0.0000 0.0000 0.5000
Se1 Se 0.0000 0.0000 0.0000
```

Entry 9:
The following is a SCAN calculation of a PBEsol-optimized structure of CdFe2P, from the Alexandria database.

## Properties
DFT total energy	-229.3	eV per cell
total magnetic moment	14.785	μB/cell
E_form	0.1567	eV/atom

Cell and atoms, written as CIF:
```
data_CdFe2P
_symmetry_space_group_name_H-M 'R 3 m'
_symmetry_Int_Tables_number 160
_symmetry_space_group_name_Hall 'R 3 -2"'
_cell_length_a 2.7983
_cell_length_b 2.7983
_cell_length_c 25.0658
_cell_angle_alpha 90.00
_cell_angle_beta 90.00
_cell_angle_gamma 120.00
loop_
_atom_site_label
_atom_site_type_symbol
_atom_site_fract_x
_atom_site_fract_y
_atom_site_fract_z
Cd1 Cd 0.0000 0.0000 0.0000
Fe1 Fe 0.0000 0.0000 0.2412
Fe2 Fe 0.0000 0.0000 0.5006
P1 P 0.0000 0.0000 0.7728
```

Entry 10:
The following is a SCAN calculation of a PBEsol-optimized structure of Na4Ca2SiP4, from the Alexandria database.

## Properties
DFT total energy	-387.5	eV per cell
total magnetic moment	0.000	μB/cell
formation energy from raw total energies	-0.83	eV per atom

Cell and atoms, written as CIF:
```
data_Na4Ca2SiP4
_symmetry_space_group_name_H-M 'C 1 c 1'
_symmetry_Int_Tables_number 9
_symmetry_space_group_name_Hall 'C -2yc'
_cell_length_a 9.099
_cell_length_b 15.668
_cell_length_c 6.909
_cell_angle_alpha 90.00
_cell_angle_beta 92.28
_cell_angle_gamma 90.00
loop_
_atom_site_label
_atom_site_type_symbol
_atom_site_fract_x
_atom_site_fract_y
_atom_site_fract_z
Na1 Na 0.000 0.072 0.000
Na2 Na 0.082 0.235 0.713
Na3 Na 0.083 0.425 0.550
Na4 Na 0.296 0.355 0.026
Ca1 Ca 0.001 0.262 0.213
Ca2 Ca 0.287 0.024 0.708
Si1 Si 0.295 0.166 0.325
P1 P 0.086 0.097 0.412
P2 P 0.287 0.302 0.428
P3 P 0.295 0.161 0.994
P4 P 0.494 0.095 0.449
```